Entry from Alexandria via LeMat-Bulk: Cs12Sb5Br3 after structural relaxation (GGA-PBE).

a = 19.2976 Å, b = 19.2976 Å, c = 19.2976 Å
α = 109.47°, β = 109.47°, γ = 109.47°
Element x y z (fractional)
Cs (0.0520, 0.2246, 0.1240)
Cs (0.0520, 0.3274, 0.9281)
Cs (0.0719, 0.6240, 0.3994)
Cs (0.0719, 0.9480, 0.6726)
Cs (0.1006, 0.7246, 0.6726)
Cs (0.1006, 0.8760, 0.4281)
Cs (0.1240, 0.0520, 0.2246)
Cs (0.1240, 0.5719, 0.8994)
Cs (0.1726, 0.2246, 0.6006)
Cs (0.1726, 0.4480, 0.5719)
Cs (0.2246, 0.1240, 0.0520)
Cs (0.2246, 0.6006, 0.1726)
Cs (0.2754, 0.3274, 0.8994)
Cs (0.2754, 0.4480, 0.3760)
Cs (0.3274, 0.8994, 0.2754)
Cs (0.3274, 0.9281, 0.0520)
Cs (0.3760, 0.2754, 0.4480)
Cs (0.3760, 0.6006, 0.9281)
Cs (0.3994, 0.0719, 0.6240)
Cs (0.3994, 0.8274, 0.7754)
Cs (0.4281, 0.1006, 0.8760)
Cs (0.4281, 0.8274, 0.5520)
Cs (0.4480, 0.3760, 0.2754)
Cs (0.4480, 0.5719, 0.1726)
Cs (0.5520, 0.4281, 0.8274)
Cs (0.5520, 0.6240, 0.7246)
Cs (0.5719, 0.1726, 0.4480)
Cs (0.5719, 0.8994, 0.1240)
Cs (0.6006, 0.1726, 0.2246)
Cs (0.6006, 0.9281, 0.3760)
Cs (0.6240, 0.3994, 0.0719)
Cs (0.6240, 0.7246, 0.5520)
Cs (0.6726, 0.0719, 0.9480)
Cs (0.6726, 0.1006, 0.7246)
Cs (0.7246, 0.5520, 0.6240)
Cs (0.7246, 0.6726, 0.1006)
Cs (0.7754, 0.3994, 0.8274)
Cs (0.7754, 0.8760, 0.9480)
Cs (0.8274, 0.5520, 0.4281)
Cs (0.8274, 0.7754, 0.3994)
Cs (0.8760, 0.4281, 0.1006)
Cs (0.8760, 0.9480, 0.7754)
Cs (0.8994, 0.1240, 0.5719)
Cs (0.8994, 0.2754, 0.3274)
Cs (0.9281, 0.0520, 0.3274)
Cs (0.9281, 0.3760, 0.6006)
Cs (0.9480, 0.6726, 0.0719)
Cs (0.9480, 0.7754, 0.8760)
Sb (0.0000, 0.0000, 0.0000)
Sb (0.0000, 0.0000, 0.5000)
Sb (0.0000, 0.5000, 0.0000)
Sb (0.0000, 0.5000, 0.5000)
Sb (0.1250, 0.7500, 0.8750)
Sb (0.1250, 0.8750, 0.2500)
Sb (0.2500, 0.1250, 0.8750)
Sb (0.2500, 0.6250, 0.3750)
Sb (0.3750, 0.2500, 0.6250)
Sb (0.3750, 0.6250, 0.7500)
Sb (0.5000, 0.0000, 0.0000)
Sb (0.5000, 0.0000, 0.5000)
Sb (0.5000, 0.5000, 0.0000)
Sb (0.5000, 0.5000, 0.5000)
Sb (0.6250, 0.3750, 0.2500)
Sb (0.6250, 0.7500, 0.3750)
Sb (0.7500, 0.3750, 0.6250)
Sb (0.7500, 0.8750, 0.1250)
Sb (0.8750, 0.1250, 0.7500)
Sb (0.8750, 0.2500, 0.1250)
Br (0.1250, 0.2500, 0.3750)
Br (0.1250, 0.3750, 0.7500)
Br (0.2500, 0.3750, 0.1250)
Br (0.2500, 0.8750, 0.6250)
Br (0.3750, 0.1250, 0.2500)
Br (0.3750, 0.7500, 0.1250)
Br (0.6250, 0.2500, 0.8750)
Br (0.6250, 0.8750, 0.7500)
Br (0.7500, 0.1250, 0.3750)
Br (0.7500, 0.6250, 0.8750)
Br (0.8750, 0.6250, 0.2500)
Br (0.8750, 0.7500, 0.6250)

Output
- SG: No. 230
- E_form (uncorrected): -499 meV per atom
- Energy: -2.29 eV/atom

Entry from Alexandria via LeMat-Bulk: Y3Ho2Tm7 after structural relaxation (GGA-PBE).

a = 6.2546 Å, b = 3.4864 Å, c = 17.2250 Å
α = 90.00°, β = 96.17°, γ = 90.00°
Element x y z (fractional)
Y (0.0000, 0.0000, 0.0000)
Y (0.0510, 0.5000, 0.6574)
Y (0.9490, 0.5000, 0.3426)
Ho (0.4398, 0.0000, 0.3260)
Ho (0.5602, 0.0000, 0.6740)
Tm (0.2266, 0.5000, 0.1658)
Tm (0.2455, 0.0000, 0.5011)
Tm (0.2769, 0.0000, 0.8334)
Tm (0.5000, 0.5000, 0.0000)
Tm (0.7231, 0.0000, 0.1666)
Tm (0.7545, 0.0000, 0.4989)
Tm (0.7734, 0.5000, 0.8342)

Output
- DFT formation energy: 0.09 eV/atom
- Energy relative to the lowest polymorph listed for this composition: 0 meV/atom
- SG: No. 10
- Energy: -4.90 eV/atom

Record-wise ρ values, in g/cm³: 2.934, 7.911
Record-wise total magnetic moment values, in μB/atom: 0.30, 0.00